# CeNdS

An optimized crystal structure of CeNdS (PBE-GGA, Alexandria via LeMat-Bulk).

Cell: 7.4543 10.7736 6.8259 Å, 142.11 90.00 90.00°
Last column: nearest neighbours and their distance in Å.
Positions (direct):
S: 0.7968 0.5628 0.0000  2 Ce 2.75-2.86, 4 Nd 2.89-2.97
S: 0.2032 0.4372 0.0000  2 Ce 2.75-2.86, 4 Nd 2.89-2.97
S: 0.7032 0.0628 0.0000  2 Ce 2.75-2.86, 4 Nd 2.89-2.97
S: 0.2968 0.9372 0.0000  2 Ce 2.75-2.86, 4 Nd 2.89-2.97
Ce: 0.3401 0.2006 0.0000  2 S 2.75-2.86
Ce: 0.6599 0.7994 0.0000  2 S 2.75-2.86
Ce: 0.1599 0.7006 0.0000  2 S 2.75-2.86
Ce: 0.8401 0.2994 0.0000  2 S 2.75-2.86
Nd: 0.0000 0.7934 0.5868  4 S 2.89-2.97
Nd: 0.5000 0.7066 0.4132  4 S 2.89-2.97
Nd: 0.0000 0.2066 0.4132  4 S 2.89-2.97
Nd: 0.5000 0.2934 0.5868  4 S 2.89-2.97

The value obtained for the energy relative to the elements, uncorrected is -1.075 eV per atom. The calculation puts the energy above the most stable polymorph in this dataset at 0.0723 eV per atom. Its density of states at the Fermi level is 2.58 states/eV/atom. Its total DFT energy (no corrections) is -6.02 eV per atom.